Record 1
## Sc2CdSe (GGA-PBE)

Data for an optimized crystal structure of Sc2CdSe.

a = 3.6374 Å, b = 3.6374 Å, c = 23.7023 Å
α = 90.00°, β = 90.00°, γ = 120.00°
Space group R3m (No. 160, hexagonal axes)
Inequivalent atoms, fractional coordinates:
Sc (0.0000, 0.0000, 0.0000) [3 per cell]
Sc (0.0000, 0.0000, 0.1928) [3 per cell]
Cd (0.0000, 0.0000, 0.7635) [3 per cell]
Se (0.0000, 0.0000, 0.5953) [3 per cell]

Output
Polymorph energy (0 for the lowest one) = 60 meV per atom



Record 2
## LaPbCl2 (GGA-PBE)

Data for an optimized crystal structure of LaPbCl2.

a = 4.7903 Å, b = 4.7903 Å, c = 4.6426 Å
α = 90.00°, β = 90.00°, γ = 90.00°
Space group P4/mmm (No. 123)
Inequivalent atoms, fractional coordinates:
La (0.0000, 0.0000, 0.0000) [1 per cell]
Pb (0.5000, 0.5000, 0.0000) [1 per cell]
Cl (0.0000, 0.5000, 0.5000) [2 per cell]

Output
Polymorph energy (0 for the lowest one) = 240 meV per atom



Record 3
## Th2Hg2I7 (GGA-PBE)

Data for an optimized crystal structure of Th2Hg2I7.

a = 11.8901 Å, b = 9.1458 Å, c = 13.4889 Å
α = 90.00°, β = 112.90°, γ = 90.00°
Space group C2/m (No. 12)
Inequivalent atoms, fractional coordinates:
Th (0.2168, 0.0000, 0.9999) [4 per cell]
Hg (0.0000, 0.3062, 0.5000) [4 per cell]
I (0.0000, 0.5000, 0.0000) [2 per cell]
I (0.0664, 0.0000, 0.1502) [4 per cell]
I (0.1734, 0.2501, 0.8268) [8 per cell]

Output
E_tot = -3.2591 eV per atom



Record 4
## Zn2AgHg2 (GGA-PBE)

Data for an optimized crystal structure of Zn2AgHg2.

a = 3.7552 Å, b = 3.7552 Å, c = 14.3593 Å
α = 90.00°, β = 90.00°, γ = 90.00°
Space group I4/mmm (No. 139)
Inequivalent atoms, fractional coordinates:
Zn (0.0000, 0.5000, 0.2500) [4 per cell]
Ag (0.0000, 0.0000, 0.0000) [2 per cell]
Hg (0.0000, 0.0000, 0.3979) [4 per cell]

Output
Polymorph energy (0 for the lowest one) = 35 meV per atom
Formation energy = 151 meV/atom



Record 5
## K3U4O12 (GGA-PBE)

Data for an optimized crystal structure of K3U4O12.

a = 8.5802 Å, b = 8.5802 Å, c = 8.5802 Å
α = 90.00°, β = 90.00°, γ = 90.00°
Space group Im-3 (No. 204)
Inequivalent atoms, fractional coordinates:
K (0.0000, 0.0000, 0.5000) [6 per cell]
U (0.2500, 0.2500, 0.2500) [8 per cell]
O (0.0000, 0.2541, 0.2556) [24 per cell]

Output
E_tot = -8.6470 eV per atom



Record 6
## ScFeBr2 (GGA-PBE)

Data for an optimized crystal structure of ScFeBr2.

a = 3.8461 Å, b = 3.8461 Å, c = 11.1707 Å
α = 90.00°, β = 90.00°, γ = 90.00°
Space group I-4m2 (No. 119)
Inequivalent atoms, fractional coordinates:
Sc (0.0000, 0.0000, 0.0000) [2 per cell]
Fe (0.0000, 0.5000, 0.2500) [2 per cell]
Br (0.0000, 0.0000, 0.5000) [2 per cell]
Br (0.0000, 0.5000, 0.7500) [2 per cell]

Output
Polymorph energy (0 for the lowest one) = 512 meV per atom



Record 7
## Dy2Ga5Pd2Rh (GGA-PBE)

Data for an optimized crystal structure of Dy2Ga5Pd2Rh.

a = 9.3906 Å, b = 9.3906 Å, c = 4.1194 Å
α = 90.00°, β = 90.00°, γ = 90.00°
Space group P4/mbm (No. 127)
Inequivalent atoms, fractional coordinates:
Dy (0.1837, 0.3163, 0.0000) [4 per cell]
Ga (0.0000, 0.5000, 0.5000) [2 per cell]
Ga (0.0522, 0.8043, 0.5000) [8 per cell]
Pd (0.1140, 0.6140, 0.0000) [4 per cell]
Rh (0.0000, 0.0000, 0.0000) [2 per cell]

Output
Formation energy = -614 meV/atom



Record 8
## Tb6Pb2C (GGA-PBE)

Data for an optimized crystal structure of Tb6Pb2C.

a = 5.2895 Å, b = 6.8819 Å, c = 14.2437 Å
α = 90.00°, β = 90.00°, γ = 90.00°
Space group Immm (No. 71)
Inequivalent atoms, fractional coordinates:
Tb (0.0000, 0.2319, 0.0000) [4 per cell]
Tb (0.0000, 0.2562, 0.3640) [8 per cell]
Pb (0.0000, 0.5000, 0.1783) [4 per cell]
C (0.0000, 0.5000, 0.5000) [2 per cell]

Output
Polymorph energy (0 for the lowest one) = 428 meV per atom
Formation energy = 22 meV/atom